The following is a GGA-PBE calculation of a relaxed structure of Ce15In4Hg, from Alexandria via LeMat-Bulk.

Output
ΔE_f, meV/atom: -173.9
E_tot, Ry per atom: -0.381
N(E_F), states/eV per atom: 3.052

abc: 4.806 4.806 23.971
angles: 90.00 90.00 90.00
Fractional positions:
Ce: 0.000 0.000 0.000
Ce: 0.000 0.000 0.200
Ce: 0.000 0.000 0.400
Ce: 0.000 0.000 0.600
Ce: 0.000 0.000 0.800
Ce: 0.000 0.500 0.100
Ce: 0.000 0.500 0.300
Ce: 0.000 0.500 0.500
Ce: 0.000 0.500 0.700
Ce: 0.000 0.500 0.900
Ce: 0.500 0.000 0.100
Ce: 0.500 0.000 0.300
Ce: 0.500 0.000 0.500
Ce: 0.500 0.000 0.700
Ce: 0.500 0.000 0.900
In: 0.500 0.500 0.200
In: 0.500 0.500 0.400
In: 0.500 0.500 0.600
In: 0.500 0.500 0.800
Hg: 0.500 0.500 0.000